(1)
Ta2CdIn (PBE-GGA, relaxed); mass density = 12.31 g/cm³; V = 19.86 Å³ per atom; final energy = -26.0 eV/cell
1.0
-1.693 2.465 4.760
1.693 -2.465 4.760
1.693 2.465 -4.760
Ta Cd In
2 1 1
Direct
0.000 0.000 0.000
0.778 0.278 0.500
0.260 0.760 0.500
0.515 0.515 0.000

---

(2)
Ta2CdIn (PBE-GGA, relaxed); mass density = 12.65 g/cm³; V = 19.34 Å³ per atom; final energy = -26.4 eV/cell
1.0
2.904 0.000 0.000
0.000 4.606 0.000
-0.449 0.000 5.783
Ta Cd In
2 1 1
Direct
0.006 0.000 0.250
0.994 0.000 0.750
0.500 0.500 0.000
0.500 0.500 0.500

---

(3)
Ta2CdIn (PBE-GGA, relaxed); mass density = 12.28 g/cm³; V = 19.91 Å³ per atom; final energy = -26.2 eV/cell
1.0
5.094 -1.488 0.000
5.094 1.488 0.000
-0.993 0.000 5.253
Ta Cd In
2 1 1
Direct
0.000 0.000 0.000
0.729 0.729 0.187
0.244 0.244 0.706
0.483 0.483 0.483

---

(4)
TaCd3In (PBE-GGA, relaxed); E above lowest polymorph = 0 meV per atom; mass density = 6.26 g/cm³; V = 33.60 Å³ per atom
1.0
5.518 0.000 0.000
0.000 5.518 0.000
0.000 0.000 5.518
Ta Cd In
1 3 1
Direct
0.000 0.000 0.000
0.000 0.000 0.500
0.000 0.500 0.000
0.500 0.000 0.000
0.500 0.500 0.500

---

(5)
TaCdInTc2 (PBE-GGA, relaxed); E above lowest polymorph = 45 meV per atom; mass density = 8.70 g/cm³; V = 23.06 Å³ per atom
1.0
4.907 0.000 0.000
0.000 4.907 0.000
0.000 0.000 4.788
Ta Cd In Tc
1 1 1 2
Direct
0.000 0.000 0.000
0.500 0.500 0.500
0.500 0.500 0.000
0.000 0.500 0.500
0.500 0.000 0.500

---

(6)
TaCdInTc2 (PBE-GGA, relaxed); E above lowest polymorph = 0 meV per atom; mass density = 8.34 g/cm³; V = 24.06 Å³ per atom
1.0
4.891 0.000 0.000
0.000 4.891 0.000
0.000 0.000 5.029
Ta Cd In Tc
1 1 1 2
Direct
0.000 0.000 0.000
0.500 0.500 0.000
0.000 0.000 0.500
0.000 0.500 0.500
0.500 0.000 0.500

---

(7)
TaCdIn2Te (PBE-GGA, relaxed); mass density = 6.86 g/cm³; V = 31.51 Å³ per atom; final energy = -16.0 eV/cell
1.0
5.216 0.000 0.000
0.000 5.216 0.000
0.000 0.000 5.790
Ta Cd In Te
1 1 2 1
Direct
0.000 0.000 0.000
0.000 0.000 0.500
0.000 0.500 0.500
0.500 0.000 0.500
0.500 0.500 0.000

---

(8)
TbCd6In (PBE-GGA, relaxed); mass density = 8.31 g/cm³; V = 23.69 Å³ per atom; final energy = -14.0 eV/cell
1.0
4.804 0.000 0.000
0.000 3.871 5.095
0.000 -3.871 5.095
Tb Cd In
1 6 1
Direct
0.000 0.000 0.000
0.000 0.422 0.422
0.000 0.512 0.908
0.000 0.908 0.512
0.500 0.298 0.716
0.500 0.716 0.298
0.500 0.799 0.799
0.500 0.225 0.225

---

Question: The highest mass density belongs to which entry?
Answer: number 2